DFT (GGA-PBE) results for a relaxed structure of HfNbBi. Values from VASP.

Output
* uncorrected energy: -7.708 eV per atom
* space group: No. 74
* DOS at the Fermi energy: 5.46 states/eV/cell

Cell and atoms, written as Quantum ESPRESSO input:
```
&SYSTEM
  ibrav = 0, nat = 6, ntyp = 3
/
ATOMIC_SPECIES
Hf 178.49 Hf.upf
Nb 92.91 Nb.upf
Bi 208.98 Bi.upf
ATOMIC_POSITIONS angstrom
Hf 0.0000 1.5946 0.7899
Hf 2.8072 1.5946 3.0325
Nb 1.4036 1.5946 -1.9112
Nb 1.4036 -1.5946 1.9112
Bi 2.8072 0.0000 0.0000
Bi 0.0000 0.0000 3.8224
CELL_PARAMETERS angstrom
-2.8072 3.1892 3.8224
2.8072 -3.1892 3.8224
2.8072 3.1892 -3.8224
```

DFT (GGA-PBE) results for a relaxed structure of TiFeTcRh2. Values from VASP.

Output
* uncorrected energy: -7.394 eV per atom
* space group: No. 123
* DOS at the Fermi energy: 6.11 states/eV/cell

Cell and atoms, written as Quantum ESPRESSO input:
```
&SYSTEM
  ibrav = 0, nat = 5, ntyp = 4
/
ATOMIC_SPECIES
Ti 47.87 Ti.upf
Fe 55.84 Fe.upf
Tc 98.00 Tc.upf
Rh 102.91 Rh.upf
ATOMIC_POSITIONS angstrom
Ti 0.0000 0.0000 0.0000
Fe 0.0000 0.0000 2.1368
Tc 2.2296 2.2296 0.0000
Rh 0.0000 2.2296 2.1368
Rh 2.2296 0.0000 2.1368
CELL_PARAMETERS angstrom
4.4593 0.0000 0.0000
0.0000 4.4593 0.0000
0.0000 0.0000 4.2736
```

DFT (GGA-PBE) results for a relaxed structure of Ac2Ni3Ge2. Values from VASP.

Output
* uncorrected energy: -5.424 eV per atom
* space group: No. 199
* DOS at the Fermi energy: 8.06 states/eV/cell

Cell and atoms, written as Quantum ESPRESSO input:
```
&SYSTEM
  ibrav = 0, nat = 14, ntyp = 3
/
ATOMIC_SPECIES
Ac 227.00 Ac.upf
Ni 58.69 Ni.upf
Ge 72.64 Ge.upf
ATOMIC_POSITIONS angstrom
Ac 4.3485 -0.1081 0.1081
Ac 0.1081 4.3485 -0.1081
Ac -0.1081 0.1081 4.3485
Ac 4.1322 4.1322 4.1322
Ni 4.2403 2.1202 -1.7733
Ni 2.1202 1.7733 0.0000
Ni 1.7733 0.0000 2.1202
Ni 2.1202 -1.7733 4.2403
Ni 0.0000 2.1202 1.7733
Ni -1.7733 4.2403 2.1202
Ge 6.1869 -1.9466 1.9466
Ge 1.9466 6.1869 -1.9466
Ge 2.2938 2.2938 2.2938
Ge -1.9466 1.9466 6.1869
CELL_PARAMETERS angstrom
-4.2403 4.2403 4.2403
4.2403 -4.2403 4.2403
4.2403 4.2403 -4.2403
```

DFT (GGA-PBE) results for a relaxed structure of NaIn7Ag2. Values from VASP.

Output
* uncorrected energy: -2.479 eV per atom
* space group: No. 65
* DOS at the Fermi energy: 4.15 states/eV/cell

Cell and atoms, written as Quantum ESPRESSO input:
```
&SYSTEM
  ibrav = 0, nat = 10, ntyp = 3
/
ATOMIC_SPECIES
Na 22.99 Na.upf
In 114.82 In.upf
Ag 107.87 Ag.upf
ATOMIC_POSITIONS angstrom
Na 0.0000 0.0000 0.0000
In 1.7182 1.9590 2.2849
In 4.4172 4.3108 0.0000
In 1.7182 -1.9590 2.2849
In 4.4172 0.0000 2.2849
In 7.1161 1.9590 2.2849
In 4.4172 -4.3108 0.0000
In 7.1161 -1.9590 2.2849
Ag 4.4172 2.7315 2.2849
Ag 4.4172 -2.7315 2.2849
CELL_PARAMETERS angstrom
4.4172 -7.4690 0.0000
4.4172 7.4690 0.0000
0.0000 0.0000 4.5698
```

DFT (GGA-PBE) results for a relaxed structure of Cu4ClF5. Values from VASP.

Output
* uncorrected energy: -3.943 eV per atom
* space group: No. 59
* DOS at the Fermi energy: 7.75 states/eV/cell
* formation energy (no corrections): -1.18 eV per atom

Cell and atoms, written as Quantum ESPRESSO input:
```
&SYSTEM
  ibrav = 0, nat = 20, ntyp = 3
/
ATOMIC_SPECIES
Cu 63.55 Cu.upf
Cl 35.45 Cl.upf
F 19.00 F.upf
ATOMIC_POSITIONS angstrom
Cu 0.0319 3.1326 0.9360
Cu 1.5440 6.2733 3.7966
Cu 1.5440 12.5221 3.7966
Cu 3.0561 3.1326 0.9360
Cu 3.1199 9.3977 2.8730
Cu 4.6320 0.0081 0.0124
Cu 4.6320 6.2570 0.0124
Cu 6.1441 9.3977 2.8730
Cl 1.5440 9.3977 1.3041
Cl 4.6320 3.1326 2.5049
F 0.0154 1.0234 0.7630
F 0.0154 5.2417 0.7630
F 1.5440 3.1326 3.5098
F 3.0726 1.0234 0.7630
F 3.0726 5.2417 0.7630
F 3.1034 7.2885 3.0460
F 3.1034 11.5069 3.0460
F 4.6320 9.3977 0.2993
F 6.1606 7.2885 3.0460
F 6.1606 11.5069 3.0460
CELL_PARAMETERS angstrom
6.1760 0.0000 0.0000
0.0000 12.5303 0.0000
0.0000 0.0000 3.8090
```

DFT (GGA-PBE) results for a relaxed structure of NiGeIr2Pd. Values from VASP.

Output
* uncorrected energy: -5.551 eV per atom
* space group: No. 123
* DOS at the Fermi energy: 6.91 states/eV/cell

Cell and atoms, written as Quantum ESPRESSO input:
```
&SYSTEM
  ibrav = 0, nat = 5, ntyp = 4
/
ATOMIC_SPECIES
Ni 58.69 Ni.upf
Ge 72.64 Ge.upf
Ir 192.22 Ir.upf
Pd 106.42 Pd.upf
ATOMIC_POSITIONS angstrom
Ni 0.0000 0.0000 0.0000
Ge 2.2719 2.2719 2.2720
Ir 0.0000 2.2719 2.2720
Ir 2.2719 0.0000 2.2720
Pd 2.2719 2.2719 0.0000
CELL_PARAMETERS angstrom
4.5437 0.0000 0.0000
0.0000 4.5437 0.0000
0.0000 0.0000 4.5440
```